Below is a relaxed VTe2Au crystal, with properties calculated at the GGA-PBE level.

Summary:
Magnetization   10.76 μB per cell
Energy relative to the elements, uncorrected   0.26 eV per atom
N(E_F)   8.78 states/eV/cell
E_tot   -4.410 eV/atom

Structure (CIF):
```
data_VTe2Au
_chemical_formula_sum 'V4 Te8 Au4'
_cell_length_a 7.072
_cell_length_b 7.072
_cell_length_c 7.072
_cell_angle_alpha 90.00
_cell_angle_beta 90.00
_cell_angle_gamma 90.00
_space_group_name_H-M_alt 'F m -3 m'
_space_group_IT_number 225
_space_group_name_Hall '-F 4 2 3'
loop_
_atom_site_label
_atom_site_type_symbol
_atom_site_fract_x
_atom_site_fract_y
_atom_site_fract_z
V1 V 0.000 0.000 0.000
Te1 Te 0.250 0.250 0.250
Au1 Au 0.000 0.000 0.500
```